(1)
Density functional theory data (SCAN) for CaSc5 at its PBEsol-relaxed geometry.

Values from the calculation:
Energy above the lowest structure with this stoichiometry in meV/atom: 0
N(E_F) in states/eV/f.u.: 6.00
Energy of formation from the pure elements in meV/atom: 112
SG: Amm2 (38)

abc: 5.242 3.303 17.562
angles: 90.00 90.00 90.00
Atoms (fractional coordinates):
Ca  0.000  0.000  0.000
Ca  0.000  0.500  0.500
Sc  0.000  0.000  0.328
Sc  0.000  0.000  0.674
Sc  0.000  0.500  0.174
Sc  0.000  0.500  0.828
Sc  0.500  0.000  0.225
Sc  0.500  0.000  0.565
Sc  0.500  0.000  0.886
Sc  0.500  0.500  0.065
Sc  0.500  0.500  0.386
Sc  0.500  0.500  0.725

***

(2)
Density functional theory data (SCAN) for CuNiAsBr2 at its PBEsol-relaxed geometry.

Values from the calculation:
N(E_F) in states/eV/f.u.: 3.91
SG: P4/mmm (123)
Uncorrected energy in Ry per atom: -1.276

abc: 4.833 4.833 4.668
angles: 90.00 90.00 90.00
Atoms (fractional coordinates):
Cu  0.000  0.000  0.000
Ni  0.500  0.500  0.500
As  0.000  0.000  0.500
Br  0.000  0.500  0.000
Br  0.500  0.000  0.000

***

(3)
Density functional theory data (SCAN) for CdTc2W at its PBEsol-relaxed geometry.

Values from the calculation:
N(E_F) in states/eV/f.u.: 3.39
Energy of formation from the pure elements in meV/atom: 369
SG: Pmmm (47)

abc: 2.847 3.877 5.767
angles: 90.00 90.00 90.00
Atoms (fractional coordinates):
Cd  0.000  0.000  0.000
Tc  0.500  0.500  0.287
Tc  0.500  0.500  0.713
W  0.000  0.000  0.500

***

(4)
Density functional theory data (SCAN) for Zn2CuSnN at its PBEsol-relaxed geometry.

Values from the calculation:
N(E_F) in states/eV/f.u.: 1.79
SG: P4/mmm (123)
Uncorrected energy in Ry per atom: -1.253

abc: 3.887 3.887 5.227
angles: 90.00 90.00 90.00
Atoms (fractional coordinates):
Zn  0.000  0.500  0.000
Zn  0.500  0.000  0.000
Cu  0.000  0.000  0.500
Sn  0.500  0.500  0.500
N  0.500  0.500  0.000

***

(5)
Density functional theory data (SCAN) for KCdAs4 at its PBEsol-relaxed geometry.

Values from the calculation:
N(E_F) in states/eV/f.u.: 1.78
Energy of formation from the pure elements in meV/atom: 55
SG: F-43m (216)

abc: 5.751 5.751 5.751
angles: 60.00 60.00 60.00
Atoms (fractional coordinates):
K  0.000  0.000  0.000
Cd  0.750  0.750  0.750
As  0.384  0.384  0.384
As  0.384  0.384  0.847
As  0.384  0.847  0.384
As  0.847  0.384  0.384

***

(6)
Density functional theory data (SCAN) for Sn2MoPN at its PBEsol-relaxed geometry.

Values from the calculation:
N(E_F) in states/eV/f.u.: 2.76
SG: P4/mmm (123)
Uncorrected energy in Ry per atom: -1.732

abc: 5.138 5.138 4.436
angles: 90.00 90.00 90.00
Atoms (fractional coordinates):
Sn  0.000  0.500  0.000
Sn  0.500  0.000  0.000
Mo  0.000  0.000  0.500
P  0.000  0.000  0.000
N  0.500  0.500  0.500

***

(7)
Density functional theory data (SCAN) for CsKICl at its PBEsol-relaxed geometry.

Values from the calculation:
N(E_F) in states/eV/f.u.: 0.00
SG: P4/mmm (123)
Uncorrected energy in Ry per atom: -1.807

abc: 4.883 4.883 7.254
angles: 90.00 90.00 90.00
Atoms (fractional coordinates):
Cs  0.000  0.000  0.000
K  0.500  0.500  0.500
I  0.000  0.000  0.500
Cl  0.500  0.500  0.000

***

(8)
Density functional theory data (SCAN) for NaHoTi2O6 at its PBEsol-relaxed geometry.

Values from the calculation:
N(E_F) in states/eV/f.u.: 0.00
SG: Pmn2_1 (31)
Uncorrected energy in Ry per atom: -1.147

abc: 7.534 5.474 5.254
angles: 90.00 90.00 90.00
Atoms (fractional coordinates):
Na  0.000  0.217  0.000
Na  0.500  0.783  0.500
Ho  0.000  0.677  0.478
Ho  0.500  0.323  0.978
Ti  0.248  0.235  0.484
Ti  0.252  0.765  0.984
Ti  0.748  0.765  0.984
Ti  0.752  0.235  0.484
O  0.000  0.274  0.572
O  0.000  0.776  0.891
O  0.196  0.942  0.306
O  0.210  0.463  0.214
O  0.290  0.537  0.714
O  0.304  0.058  0.806
O  0.500  0.224  0.391
O  0.500  0.726  0.072
O  0.696  0.058  0.806
O  0.710  0.537  0.714
O  0.790  0.463  0.214
O  0.804  0.942  0.306

***

(9)
Density functional theory data (SCAN) for BiP2NCl at its PBEsol-relaxed geometry.

Values from the calculation:
N(E_F) in states/eV/f.u.: 2.89
SG: P4/mmm (123)
Uncorrected energy in Ry per atom: -1.652

abc: 3.906 3.906 5.732
angles: 90.00 90.00 90.00
Atoms (fractional coordinates):
Bi  0.000  0.000  0.000
P  0.000  0.500  0.500
P  0.500  0.000  0.500
N  0.500  0.500  0.500
Cl  0.500  0.500  0.000

***

(10)
Density functional theory data (SCAN) for SrMn2Tc at its PBEsol-relaxed geometry.

Values from the calculation:
Energy above the lowest structure with this stoichiometry in meV/atom: 384
N(E_F) in states/eV/f.u.: 2.92
Energy of formation from the pure elements in meV/atom: 685
SG: F-43m (216)

abc: 6.413 6.413 6.413
angles: 90.00 90.00 90.00
Atoms (fractional coordinates):
Sr  0.000  0.000  0.000
Sr  0.000  0.500  0.500
Sr  0.500  0.000  0.500
Sr  0.500  0.500  0.000
Mn  0.000  0.000  0.500
Mn  0.000  0.500  0.000
Mn  0.250  0.250  0.250
Mn  0.250  0.750  0.750
Mn  0.500  0.000  0.000
Mn  0.500  0.500  0.500
Mn  0.750  0.250  0.750
Mn  0.750  0.750  0.250
Tc  0.250  0.250  0.750
Tc  0.250  0.750  0.250
Tc  0.750  0.250  0.250
Tc  0.750  0.750  0.750

***

(11)
Density functional theory data (SCAN) for Li2InIr at its PBEsol-relaxed geometry.

Values from the calculation:
N(E_F) in states/eV/f.u.: 1.37
Energy of formation from the pure elements in meV/atom: -259
SG: I4/mmm (139)

abc: 3.878 3.878 7.863
angles: 90.00 90.00 90.00
Atoms (fractional coordinates):
Li  0.000  0.500  0.250
Li  0.000  0.500  0.750
Li  0.500  0.000  0.250
Li  0.500  0.000  0.750
In  0.000  0.000  0.000
In  0.500  0.500  0.500
Ir  0.000  0.000  0.500
Ir  0.500  0.500  0.000

***

(12)
Density functional theory data (SCAN) for InGaTe2 at its PBEsol-relaxed geometry.

Values from the calculation:
N(E_F) in states/eV/f.u.: 0.31
SG: I4/mcm (140)
Uncorrected energy in Ry per atom: -2.302

abc: 8.230 8.230 6.681
angles: 90.00 90.00 90.00
Atoms (fractional coordinates):
In  0.000  0.000  0.250
In  0.000  0.000  0.750
In  0.500  0.500  0.250
In  0.500  0.500  0.750
Ga  0.000  0.500  0.250
Ga  0.000  0.500  0.750
Ga  0.500  0.000  0.250
Ga  0.500  0.000  0.750
Te  0.178  0.322  0.000
Te  0.178  0.678  0.500
Te  0.322  0.178  0.500
Te  0.322  0.822  0.000
Te  0.678  0.178  0.000
Te  0.678  0.822  0.500
Te  0.822  0.322  0.500
Te  0.822  0.678  0.000

***

N(E_F) of number 9 (BiP2NCl)?
2.89 states/eV/f.u.

***

The highest N(E_F) belongs to which entry?
CaSc5

***

Copy entry 3 word for word.
Density functional theory data (SCAN) for CdTc2W at its PBEsol-relaxed geometry.

Values from the calculation:
N(E_F) in states/eV/f.u.: 3.39
Energy of formation from the pure elements in meV/atom: 369
SG: Pmmm (47)

abc: 2.847 3.877 5.767
angles: 90.00 90.00 90.00
Atoms (fractional coordinates):
Cd  0.000  0.000  0.000
Tc  0.500  0.500  0.287
Tc  0.500  0.500  0.713
W  0.000  0.000  0.500